The following is a GGA+U calculation of crystalline MnCoBiO4 at its relaxed geometry, from Alexandria via LeMat-Bulk.

a b c (Å): 5.7343 9.4940 6.7522
angles (deg): 90.00 90.00 90.00
Space group Cmcm (No. 63)
Unique sites:
Mn  0.0000  0.0000  0.0000
Co  0.0000  0.3373  0.2500
Bi  0.0000  0.3295  0.7500
O  0.0000  0.2011  0.0353
O  0.2480  0.0187  0.7500

Output
size of the total moment	7.019	μB/f.u.
N(E_F)	0.289	states/eV/atom
electronic total energy	-6.333	eV/atom